This record from Alexandria describes a PBEsol-optimized structure of Li2CrTeS. The functional is SCAN.

Lattice parameters (Å, degrees): 4.8021 4.8021 5.6225 90.00 90.00 90.00
Closest atoms and distances in Å follow each position.
Space group P4/mmm (No. 123)
Inequivalent atoms, fractional coordinates:
Li (0.0000, 0.5000, 0.0000)  2 Te 2.40
Cr (0.0000, 0.0000, 0.5000)  4 S 3.40, 8 Li 3.70
Te (0.5000, 0.5000, 0.0000)  4 Li 2.40
S (0.5000, 0.5000, 0.5000)  2 Te 2.81

Output
* M_tot: 5.31 μB per cell
* V: 25.93 Å³/atom
* E: -13.886 eV/atom